NaSrCa4 | PBE-GGA | optimized geometry

Geometry as CIF:
```
data_NaSrCa4
_chemical_formula_sum 'Na4 Sr4 Ca16'
_symmetry_space_group_name_H-M 'C 1 2/c 1'
_symmetry_Int_Tables_number 15
_cell_length_a 12.1775
_cell_length_b 6.6883
_cell_length_c 13.4570
_cell_angle_alpha 90.00
_cell_angle_beta 107.77
_cell_angle_gamma 90.00
loop_
_symmetry_equiv_pos_as_xyz
'x,y,z'
'-x,-y,-z'
'-x,y,-z+1/2'
'x,-y,z+1/2'
'x+1/2,y+1/2,z'
'-x+1/2,-y+1/2,-z'
'-x+1/2,y+1/2,-z+1/2'
'x+1/2,-y+1/2,z+1/2'
loop_
_atom_site_label
_atom_site_type_symbol
_atom_site_fract_x
_atom_site_fract_y
_atom_site_fract_z
Na1 Na 0.0000 0.1133 0.2500
Sr1 Sr 0.2500 0.2500 0.5000
Ca1 Ca 0.0837 0.2497 0.0068
Ca2 Ca 0.1608 0.3744 0.7507
```

distance to the lowest polymorph of the same formula = 1.31 kJ per mole of atoms
Fermi-level density of states = 20.40 states/eV per cell
raw total energy = -1.7853 eV/atom


Na2SrCa8 | PBE-GGA | optimized geometry

Geometry as CIF:
```
data_Na2SrCa8
_chemical_formula_sum 'Na4 Sr2 Ca16'
_symmetry_space_group_name_H-M 'C 1 2/m 1'
_symmetry_Int_Tables_number 12
_cell_length_a 9.9287
_cell_length_b 16.3672
_cell_length_c 6.4109
_cell_angle_alpha 90.00
_cell_angle_beta 112.80
_cell_angle_gamma 90.00
loop_
_symmetry_equiv_pos_as_xyz
'x,y,z'
'-x,-y,-z'
'-x,y,-z'
'x,-y,z'
'x+1/2,y+1/2,z'
'-x+1/2,-y+1/2,-z'
'-x+1/2,y+1/2,-z'
'x+1/2,-y+1/2,z'
loop_
_atom_site_label
_atom_site_type_symbol
_atom_site_fract_x
_atom_site_fract_y
_atom_site_fract_z
Na1 Na 0.0000 0.1910 0.0000
Sr1 Sr 0.0000 0.5000 0.5000
Ca1 Ca 0.0000 0.2673 0.5000
Ca2 Ca 0.0950 0.0000 0.3087
Ca3 Ca 0.2050 0.3847 0.1120
```

distance to the lowest polymorph of the same formula = 8.62 kJ per mole of atoms
Fermi-level density of states = 24.65 states/eV per cell
raw total energy = -1.7142 eV/atom


- Which of these has the highest Fermi-level density of states?
  Na2SrCa8


- Among the records above, which one has the lowest distance to the lowest polymorph of the same formula?
  NaSrCa4


- Among the records above, which one has the highest Fermi-level density of states?
  Na2SrCa8